Entry 1:
LiIrRu2 | SCAN | single point on PBEsol structure

a = 2.6354 Å, b = 3.9629 Å, c = 5.0802 Å
α = 90.00°, β = 104.95°, γ = 90.00°
Sites, in units of the cell vectors:
Ir (0.0785, 0.0000, 0.5296)
Li (0.6725, 0.5000, 0.7347)
Ru (0.8165, 0.0000, 0.0006)
Ru (0.4325, 0.5000, 0.2352)

## Properties
DFT total energy (eV for the cell shown): -142.89
DOS at the Fermi energy (states/eV/f.u.): 3.14
SG: No. 6
Calculated formation energy (kJ/mol of formula units): 24
Excess energy over the best structure of this formula in the dataset (eV/atom): 0.000
Crystal system: monoclinic

---

Entry 2:
LiIrRu2 | SCAN | single point on PBEsol structure

a = 4.2002 Å, b = 4.2002 Å, c = 4.2002 Å
α = 60.00°, β = 60.00°, γ = 60.00°
Sites, in units of the cell vectors:
Ir (0.0000, 0.0000, 0.0000)
Li (0.5000, 0.5000, 0.5000)
Ru (0.2500, 0.2500, 0.2500)
Ru (0.7500, 0.7500, 0.7500)

## Properties
DFT total energy (eV for the cell shown): -142.31
DOS at the Fermi energy (states/eV/f.u.): 5.44
SG: No. 225
Calculated formation energy (kJ/mol of formula units): 80
Excess energy over the best structure of this formula in the dataset (eV/atom): 0.145
Crystal system: cubic